(1)
The following is a PBE calculation of a relaxed structure of Be2Fe2C, from the Alexandria database.

Cell: 3.0796 3.0796 5.9827 Å, 75.09 75.09 90.00°
With the nearest neighbours (Å) after each atom.
Fractional coordinates of all 5 atoms:
Be1 0.4088 0.4088 0.1824  1 Be 2.03
Be2 0.5912 0.5912 0.8176  1 Be 2.03
C1 0.0000 0.0000 0.0000  8 Be 2.40
Fe1 0.7500 0.2500 0.5000  4 Fe 2.18, 4 Be 2.35
Fe2 0.2500 0.7500 0.5000  4 Fe 2.18, 4 Be 2.35

Total magnetic moment   3.37 μB per cell
ΔH_f (0 K)   1.32 eV per atom
Fermi-level density of states   4.49 states/eV/f.u.
Uncorrected energy   -5.401 eV/atom
Polymorph energy (0 for the lowest one)   835 meV per atom

=====

(2)
The following is a PBE calculation of a relaxed structure of HoErAs2O8, from the Alexandria database.

Cell: 5.0237 5.0237 6.6558 Å, 112.17 112.17 90.00°
With the nearest neighbours (Å) after each atom.
Fractional coordinates of all 12 atoms:
As1 0.2500 0.7500 0.5000  4 O 1.73
Ho1 0.7500 0.2500 0.5000  8 O 2.33-2.41
As2 0.5000 0.5000 0.0000  4 O 1.73
O1 0.0760 0.9799 0.6593  1 As 1.73
O2 0.5833 0.6794 0.6593  1 As 1.73
O3 0.3206 0.9240 0.3407  1 As 1.73
O4 0.0201 0.4167 0.3407  1 As 1.73
O5 0.6744 0.2693 0.8416  1 As 1.73
O6 0.1672 0.5723 0.8416  1 As 1.73
O7 0.7307 0.8328 0.1584  1 As 1.73
Er1 0.0000 0.0000 0.0000  8 O 2.32-2.40
O8 0.4277 0.3256 0.1584  1 As 1.73

Total magnetic moment   0.00 μB per cell
Fermi-level density of states   0.00 states/eV/f.u.
Uncorrected energy   -7.205 eV/atom
Formation energy from raw total energies   -227.97 kJ per mole of atoms